{"formula": "CsVGa2O6", "functional": "GGA+U", "state": "relaxed", "lattice": [[-6.069, -0.981, 0.758], [-0.393, -7.673, 1.518], [-1.420, 2.989, 7.098]], "species": ["Cs", "Cs", "V", "V", "Ga", "Ga", "Ga", "Ga", "O", "O", "O", "O", "O", "O", "O", "O", "O", "O", "O", "O"], "fractional_positions": [[0.250, 0.858, 0.142], [0.750, 0.142, 0.858], [0.250, 0.278, 0.722], [0.750, 0.722, 0.278], [0.375, 0.794, 0.657], [0.125, 0.343, 0.206], [0.625, 0.206, 0.343], [0.875, 0.657, 0.794], [0.268, 0.050, 0.659], [0.232, 0.341, 0.950], [0.732, 0.950, 0.341], [0.768, 0.659, 0.050], [0.499, 0.686, 0.406], [0.001, 0.594, 0.314], [0.501, 0.314, 0.594], [0.999, 0.406, 0.686], [0.107, 0.766, 0.784], [0.393, 0.216, 0.234], [0.893, 0.234, 0.216], [0.607, 0.784, 0.766]], "vol_a3_per_atom": 17.41, "dos_ef_per_ev_cell": 0.00, "total_energy_ev_per_fu": -62.62}